Record 1
A plane-wave DFT calculation with PBE was carried out for a geometry-optimized ZrMnP structure.

abc: 3.510 3.510 4.613
angles: 90.00 90.00 120.00
Last column: magnetic moment on the atom in μB.
Sites, in units of the cell vectors:
Zr1 0.333 0.667 0.635  -0.15
Mn1 0.000 0.000 0.090  1.24
P1 0.667 0.333 0.275  -0.04

Summary:
For the total magnetization, the calculation gives 1.00 μB per formula unit. For the formation energy, the calculation gives -0.46 eV per atom. The final energy is -24.5 eV for the cell shown.

=====

Record 2
A plane-wave DFT calculation with PBE was carried out for a geometry-optimized ZrMnP2 structure.

abc: 3.691 3.691 5.584
angles: 72.33 72.33 57.59
Last column: magnetic moment on the atom in μB.
Sites, in units of the cell vectors:
P1 0.513 0.513 0.445  -0.02
Zr1 0.750 0.750 0.750  -0.10
Mn1 0.250 0.250 0.250  1.10
P2 0.987 0.987 0.055  -0.02

Summary:
For the total magnetization, the calculation gives 0.92 μB per formula unit. For the formation energy, the calculation gives -0.72 eV per atom. The final energy is -31.4 eV for the cell shown.

=====

Record 3
A plane-wave DFT calculation with PBE was carried out for a geometry-optimized Zr2Mn4P3 structure.

abc: 12.630 12.630 3.575
angles: 90.00 90.00 120.00
Last column: magnetic moment on the atom in μB.
Sites, in units of the cell vectors:
P1 0.829 0.509 0.500  -0.05
Mn1 0.716 0.000 0.500  1.62
Zr1 0.172 0.000 0.500  -0.03
P2 0.337 0.000 0.000  -0.05
Zr2 0.000 0.172 0.500  -0.03
Zr3 0.545 0.000 0.000  -0.06
P3 0.663 0.663 0.000  -0.05
Zr4 0.333 0.667 0.000  -0.04
Mn2 0.174 0.802 0.000  1.85
Mn3 0.198 0.372 0.000  1.85
Mn4 0.657 0.531 0.500  1.94
P4 0.491 0.320 0.500  -0.05
P5 0.000 0.826 0.000  -0.04
P6 0.171 0.680 0.500  -0.05
Mn5 0.802 0.174 0.000  1.85
Zr5 0.828 0.828 0.500  -0.03
Mn6 0.000 0.000 0.000  0.11
Zr6 0.667 0.333 0.000  -0.04
Mn7 0.000 0.716 0.500  1.62
Mn8 0.284 0.284 0.500  1.62
Mn9 0.469 0.126 0.500  1.94
P7 0.174 0.174 0.000  -0.04
Zr7 0.000 0.545 0.000  -0.06
P8 0.000 0.337 0.000  -0.05
Mn10 0.628 0.826 0.000  1.85
Mn11 0.343 0.874 0.500  1.94
P9 0.826 0.000 0.000  -0.04
Mn12 0.531 0.657 0.500  1.94
Mn13 0.372 0.198 0.000  1.85
Mn14 0.126 0.469 0.500  1.94
Zr8 0.455 0.455 0.000  -0.06
P10 0.320 0.491 0.500  -0.05
P11 0.509 0.829 0.500  -0.05
Mn15 0.826 0.628 0.000  1.85
Mn16 0.874 0.343 0.500  1.94
P12 0.680 0.171 0.500  -0.05

Summary:
For the total magnetization, the calculation gives 6.93 μB per formula unit. For the formation energy, the calculation gives -0.86 eV per atom. The final energy is -311.0 eV for the cell shown.

=====

Record 4
A plane-wave DFT calculation with PBE was carried out for a geometry-optimized ZrMnP2 structure.

abc: 7.840 7.840 7.840
angles: 22.45 22.45 22.45
Last column: magnetic moment on the atom in μB.
Sites, in units of the cell vectors:
P1 0.008 0.008 0.008  -0.03
Mn1 0.737 0.737 0.737  0.65
Zr1 0.499 0.499 0.499  -0.06
P2 0.256 0.256 0.256  -0.01

Summary:
For the total magnetization, the calculation gives 0.51 μB per formula unit. For the formation energy, the calculation gives -0.02 eV per atom. The final energy is -28.6 eV for the cell shown.